Entry 1:
Density functional theory data (PBE) for a geometry-optimized CaZrCo2Bi structure.

Space-group type: P4/mmm (123)
ΔH_f (0 K): 93.2 kJ per mole of atoms
Size of the total moment: 2.8 μB per formula unit

Geometry as POSCAR:
```
CaZrCo2Bi
1.0
4.904 0.000 0.000
0.000 5.459 0.000
0.000 0.000 4.904
Ca Co Bi Zr
1 2 1 1
direct
0.500 0.500 0.500 Ca
0.000 0.000 0.500 Co
0.500 0.000 0.000 Co
0.000 0.000 0.000 Bi
0.000 0.500 0.000 Zr
```



Entry 2:
Density functional theory data (PBE) for a geometry-optimized CaCrBi structure.

Space-group type: Pm (6)
ΔH_f (0 K): 2.3 kJ per mole of atoms
Size of the total moment: 0.1 μB per formula unit

Geometry as POSCAR:
```
CaCrBi
1.0
4.666 0.000 -0.001
0.000 4.640 0.000
-2.314 0.000 8.293
Cr Ca Bi
2 2 2
direct
0.611 0.500 0.738 Cr
0.497 0.500 0.509 Cr
0.055 0.000 0.626 Ca
0.269 0.500 0.059 Ca
0.414 0.000 0.342 Bi
0.701 0.000 0.920 Bi
```



Q: Which value of size of the total moment does entry 1 give?
A: 2.8 μB per formula unit



Q: The lowest ΔH_f (0 K) belongs to which entry?
A: CaCrBi